Record 1
# PBE LuSc2Al3CuGe2, relaxed
# Raw total energy   -5.2237 eV/atom
data_LuSc2Al3CuGe2
_chemical_formula_sum 'Lu2 Sc4 Al6 Cu2 Ge4'
_space_group_name_H-M_alt 'A m m 2'
_space_group_IT_number 38
_cell_length_a 4.017
_cell_length_b 11.815
_cell_length_c 6.780
_cell_angle_alpha 90.00
_cell_angle_beta 90.00
_cell_angle_gamma 90.00
loop_
_space_group_symop_operation_xyz
'x,y,z'
'-x,-y,z'
'-x,y,z'
'x,-y,z'
'x,y+1/2,z+1/2'
'-x,-y+1/2,z+1/2'
'-x,y+1/2,z+1/2'
'x,-y+1/2,z+1/2'
loop_
_atom_site_label
_atom_site_type_symbol
_atom_site_fract_x
_atom_site_fract_y
_atom_site_fract_z
_atom_site_occupancy
Lu1 Lu 0.000 0.000 0.000 1
Sc1 Sc 0.000 0.202 0.393 1
Al1 Al 0.500 0.000 0.358 1
Al2 Al 0.500 0.119 0.710 1
Cu1 Cu 0.000 0.000 0.590 1
Ge1 Ge 0.500 0.170 0.095 1

=====

Record 2
# PBE BaPuSi, relaxed
# Raw total energy   -6.5609 eV/atom
# Distance to the lowest polymorph of the same formula   1.68 eV per formula unit
data_BaPuSi
_chemical_formula_sum 'Ba4 Pu4 Si4'
_space_group_name_H-M_alt 'F -4 3 m'
_space_group_IT_number 216
_space_group_name_Hall 'F -4 2 3'
_cell_length_a 7.341
_cell_length_b 7.341
_cell_length_c 7.341
_cell_angle_alpha 90.00
_cell_angle_beta 90.00
_cell_angle_gamma 90.00
loop_
_atom_site_label
_atom_site_type_symbol
_atom_site_fract_x
_atom_site_fract_y
_atom_site_fract_z
_atom_site_occupancy
Ba1 Ba 0.000 0.000 0.000 1
Pu1 Pu 0.250 0.250 0.750 1
Si1 Si 0.250 0.250 0.250 1

=====

Record 3
# PBE PmYGa3, relaxed
# Raw total energy   -4.7409 eV/atom
data_PmYGa3
_chemical_formula_sum 'Pm4 Y4 Ga12'
_space_group_name_H-M_alt 'C m c m'
_space_group_IT_number 63
_space_group_name_Hall '-C 2c 2'
_cell_length_a 4.274
_cell_length_b 25.731
_cell_length_c 4.201
_cell_angle_alpha 90.00
_cell_angle_beta 90.00
_cell_angle_gamma 90.00
loop_
_atom_site_label
_atom_site_type_symbol
_atom_site_fract_x
_atom_site_fract_y
_atom_site_fract_z
_atom_site_occupancy
Pm1 Pm 0.000 0.073 0.250 1
Y1 Y 0.000 0.204 0.750 1
Ga1 Ga 0.000 0.323 0.750 1
Ga2 Ga 0.000 0.380 0.250 1
Ga3 Ga 0.000 0.476 0.250 1

=====

no.,V (Å³/atom)
1,17.9
2,33.0
3,23.1